First-principles (PBE-GGA) data for crystalline Tl4InHg2Pb at its relaxed geometry, as listed in Alexandria.

abc: 5.859 5.730 9.119
angles: 50.27 90.00 90.00
Atoms (fractional coordinates):
Tl 0.000 0.742 0.754
Tl 0.000 0.258 0.246
Tl 0.500 0.751 0.248
Tl 0.500 0.249 0.752
In 0.500 0.500 0.000
Hg 0.000 0.000 0.000
Hg 0.500 0.000 0.500
Pb 0.000 0.500 0.500

Computed properties:
Space-group type: P2/m, No. 10
E_tot in eV per atom: -2.043
Energy of formation in meV/atom: 21
M_tot in μB/atom: 0.00